PmAgSnTe3, optimized geometry, DFT PBE-GGA; total DFT energy (no corrections) = -4.202 eV per atom; magnetization = 0.0 μB/f.u.; symmetry = P2_1/m (11); energy relative to the elements, uncorrected = -0.697 eV per atom
1.0
-4.1782 -0.5042 -0.8718
2.1304 -5.0633 -7.2812
-0.6097 -6.9245 6.9263
Sn Ag Pm Te
2 2 2 6
Direct
0.7500 0.3379 0.8380 Sn
0.2500 0.6621 0.1620 Sn
0.2500 0.0788 0.5806 Ag
0.7500 0.9212 0.4194 Ag
0.7500 0.8299 0.7609 Pm
0.2500 0.1701 0.2391 Pm
0.7500 0.4017 0.1551 Te
0.7500 0.9112 0.1238 Te
0.2500 0.7499 0.5110 Te
0.2500 0.0888 0.8762 Te
0.2500 0.5983 0.8449 Te
0.7500 0.2501 0.4890 Te